No. 1
Entry from the Alexandria database: PmSmTlZn after structural relaxation (PBE-GGA).

Results
The space group is P4mm, No. 99. As for the volume: 107 Å³/cell. Its formation energy is -0.354 eV/atom. The value obtained for the energy above the most stable polymorph in this dataset is 0.00 eV/f.u.

a b c (Å): 3.7400 3.7400 7.6455
angles (deg): 90.00 90.00 90.00
Sites, in units of the cell vectors:
Pm 0.0000 0.0000 0.0000
Sm 0.0000 0.0000 0.5452
Tl 0.5000 0.5000 0.2745
Zn 0.5000 0.5000 0.7701

---

No. 2
Entry from the Alexandria database: Pm2SmTl2Zn2 after structural relaxation (PBE-GGA).

Results
The space group is R-3m, No. 166. As for the volume: 187 Å³/cell. Its formation energy is -0.190 eV/atom.

a b c (Å): 9.8364 9.8364 9.8364
angles (deg): 28.14 28.14 28.14
Sites, in units of the cell vectors:
Pm 0.1267 0.1267 0.1267
Pm 0.8733 0.8733 0.8733
Sm 0.0000 0.0000 0.0000
Tl 0.2638 0.2638 0.2638
Tl 0.7362 0.7362 0.7362
Zn 0.3944 0.3944 0.3944
Zn 0.6056 0.6056 0.6056

---

No. 3
Entry from the Alexandria database: PmSmTlZn after structural relaxation (PBE-GGA).

Results
The space group is F-43m, No. 216. As for the volume: 108 Å³/cell. Its formation energy is -0.332 eV/atom. The value obtained for the energy above the most stable polymorph in this dataset is 0.09 eV/f.u.

a b c (Å): 5.3483 5.3483 5.3483
angles (deg): 60.00 60.00 60.00
Sites, in units of the cell vectors:
Pm 0.0000 0.0000 0.0000
Sm 0.5000 0.5000 0.5000
Tl 0.2500 0.2500 0.2500
Zn 0.7500 0.7500 0.7500

---

No. 4
Entry from the Alexandria database: Pm5SmTm5 after structural relaxation (PBE-GGA).

Results
The space group is P-6m2, No. 187. As for the volume: 376 Å³/cell. Its formation energy is 0.291 eV/atom.

a b c (Å): 6.0603 6.0603 11.8249
angles (deg): 90.00 90.00 120.00
Sites, in units of the cell vectors:
Pm 0.0000 0.0000 0.0000
Pm 0.3333 0.6667 0.3172
Pm 0.3333 0.6667 0.6828
Pm 0.6667 0.3333 0.1535
Pm 0.6667 0.3333 0.8465
Sm 0.3333 0.6667 0.0000
Tm 0.0000 0.0000 0.2663
Tm 0.0000 0.0000 0.7337
Tm 0.3326 0.1663 0.5000
Tm 0.8337 0.1663 0.5000
Tm 0.8337 0.6674 0.5000

---

No. 5
Entry from the Alexandria database: Pm10Sm4Tm after structural relaxation (PBE-GGA).

Results
The space group is I4/mmm, No. 139. As for the volume: 524 Å³/cell. Its formation energy is 0.228 eV/atom.

a b c (Å): 9.0509 9.0509 9.0509
angles (deg): 100.97 100.97 128.28
Sites, in units of the cell vectors:
Pm 0.9999 0.2116 0.7883
Pm 0.0001 0.7884 0.2117
Pm 0.2116 0.9999 0.7883
Pm 0.2116 0.4233 0.2117
Pm 0.2500 0.7500 0.5000
Pm 0.4233 0.2116 0.2117
Pm 0.5767 0.7884 0.7883
Pm 0.7500 0.2500 0.5000
Pm 0.7884 0.0001 0.2117
Pm 0.7884 0.5767 0.7883
Sm 0.2704 0.2704 0.5407
Sm 0.2704 0.7296 0.0000
Sm 0.7296 0.2704 0.0000
Sm 0.7296 0.7296 0.4593
Tm 0.5000 0.5000 0.0000

---

No. 6
Entry from the Alexandria database: Pm3Sm3Tm5 after structural relaxation (PBE-GGA).

Results
The space group is P-62m, No. 189. As for the volume: 444 Å³/cell. Its formation energy is 0.785 eV/atom.

a b c (Å): 9.6072 9.6072 5.5563
angles (deg): 90.00 90.00 120.00
Sites, in units of the cell vectors:
Pm 0.0000 0.4318 0.0000
Pm 0.4318 0.0000 0.0000
Pm 0.5682 0.5682 0.0000
Sm 0.0000 0.6310 0.5000
Sm 0.3690 0.3690 0.5000
Sm 0.6310 0.0000 0.5000
Tm 0.0000 0.2683 0.5000
Tm 0.2683 0.0000 0.5000
Tm 0.3333 0.6667 0.5000
Tm 0.6667 0.3333 0.5000
Tm 0.7317 0.7317 0.5000